Record 1
Below is a geometry-optimized Ac3Pr2DySe6 structure, with properties calculated at the PBE level.

Properties
Symmetry   C2/m (12)
Calculated total energy   -5.78 eV/atom
Raw formation energy   -22.013 eV per formula unit
Size of the total moment   0.0 μB per cell
Density   7.69 Mg/m³

```
Ac3Pr2DySe6
1.0
-3.301 4.366 -5.100
-2.847 -0.534 6.898
6.096 4.212 1.489
Ac Pr Dy Se
3 2 1 6
Cartesian
0.123 2.413 5.584
-0.176 5.631 -2.297
-0.026 4.022 1.643
-2.998 1.100 2.897
-3.150 2.732 -1.099
0.000 0.000 0.000
-0.067 6.954 0.582
-3.212 3.891 1.711
0.015 1.090 2.705
0.080 5.374 4.452
3.160 4.153 1.576
-0.132 2.670 -1.165
```

Record 2
Below is a geometry-optimized Tl3SbPb4 structure, with properties calculated at the PBE level.

Properties
Distance to the lowest polymorph of the same formula   0 meV per atom
Symmetry   Pmn2_1 (31)
Calculated total energy   -3.25 eV/atom
Raw formation energy   0.079 eV per formula unit
Size of the total moment   0.0 μB per cell
Density   10.45 Mg/m³

```
Tl3SbPb4
1.0
-3.896 -5.681 1.103
2.495 0.154 9.611
-5.671 4.162 1.405
Pb Sb Tl
8 2 6
Cartesian
0.783 0.050 3.023
-2.050 2.129 3.724
-2.325 -0.301 1.268
-3.726 1.720 6.730
-2.752 -0.634 9.081
-5.585 1.446 9.784
-5.674 -1.121 7.281
-4.273 -3.142 1.819
-0.800 2.204 8.529
-4.003 -0.709 4.276
-3.636 4.285 9.231
-5.085 1.725 1.955
-0.965 -0.307 6.049
-1.167 -2.790 3.573
-2.912 -3.147 6.600
-7.033 -1.116 2.507
```

Record 3
Below is a geometry-optimized Sr5AgO6 structure, with properties calculated at the PBE level.

Properties
Symmetry   C2/m (12)
Calculated total energy   -5.67 eV/atom
Raw formation energy   -27.037 eV per formula unit
Size of the total moment   1.1 μB per cell
Density   5.21 Mg/m³

```
Sr5AgO6
1.0
-2.624 1.855 5.534
2.120 -3.489 4.935
5.085 1.746 3.206
Sr Ag O
5 1 6
Cartesian
2.475 1.548 5.735
2.385 -0.595 2.711
-0.252 -0.817 5.234
4.820 -1.148 5.430
2.106 -1.437 7.940
0.000 0.000 0.000
-0.139 1.708 5.617
2.293 -1.038 5.339
-0.149 -0.419 2.790
-0.355 -1.215 7.678
2.288 1.149 8.336
4.720 -1.597 8.057
```